VAu2S4 | PBE | optimized geometry

Computed properties:
Space group: I4/mmm, No. 139
Total magnetization in Bohr magnetons per cell: 0.17
DFT total energy in eV/f.u.: -31.034
Crystal system: tetragonal
Energy relative to the elements, uncorrected in meV per atom: 164

a = 6.826 Å, b = 6.826 Å, c = 6.826 Å
α = 137.58°, β = 137.58°, γ = 61.55°
Atoms (fractional coordinates):
V  0.000  0.000  0.000
Au  0.386  0.386  0.000
Au  0.614  0.614  0.000
S  0.000  0.500  0.500
S  0.188  0.188  0.000
S  0.500  0.000  0.500
S  0.812  0.812  0.000